! Rb2NaVN PBE relaxed; values from VASP
! Calculated total energy   -0.1402 hartree per atom
! DOS(E_F)   1.55 states/eV per cell
! Space-group type   P4/mmm
! Energy relative to the elements, uncorrected   31.3 kJ/mol of atoms
&SYSTEM
  ibrav = 0, nat = 5, ntyp = 4
/
ATOMIC_SPECIES
Rb 85.47 Rb.upf
Na 22.99 Na.upf
V 50.94 V.upf
N 14.01 N.upf
ATOMIC_POSITIONS crystal
Rb 0.000 0.500 0.000
Rb 0.500 0.000 0.000
Na 0.000 0.000 0.500
V 0.500 0.500 0.000
N 0.500 0.500 0.500
CELL_PARAMETERS angstrom
7.222 0.000 0.000
0.000 7.222 0.000
0.000 0.000 3.770

! AcTl6Pd6 PBE relaxed; values from VASP
! Calculated total energy   -0.1497 hartree per atom
! Energy relative to the elements   -3.48 eV per formula unit
! DOS(E_F)   9.19 states/eV per cell
! Space-group type   Immm
&SYSTEM
  ibrav = 0, nat = 13, ntyp = 3
/
ATOMIC_SPECIES
Ac 227.00 Ac.upf
Tl 204.38 Tl.upf
Pd 106.42 Pd.upf
ATOMIC_POSITIONS crystal
Ac 0.000 0.000 0.000
Tl 0.183 0.683 0.500
Tl 0.343 0.000 0.343
Tl 0.346 0.346 0.000
Tl 0.654 0.654 0.000
Tl 0.657 0.000 0.657
Tl 0.817 0.317 0.500
Pd 0.000 0.000 0.500
Pd 0.000 0.500 0.000
Pd 0.232 0.500 0.732
Pd 0.500 0.000 0.000
Pd 0.500 0.500 0.500
Pd 0.768 0.500 0.268
CELL_PARAMETERS angstrom
-2.893 4.786 5.014
2.893 -4.786 5.014
2.893 4.786 -5.014

! UTl2Sb2S6 PBE relaxed; values from VASP
! Calculated total energy   -0.1863 hartree per atom
! DOS(E_F)   8.39 states/eV per cell
! Space-group type   C2/m
! Energy relative to the elements, uncorrected   -59.1 kJ/mol of atoms
&SYSTEM
  ibrav = 0, nat = 11, ntyp = 4
/
ATOMIC_SPECIES
U 238.03 U.upf
Tl 204.38 Tl.upf
Sb 121.76 Sb.upf
S 32.06 S.upf
ATOMIC_POSITIONS crystal
U 0.000 0.000 0.000
Tl 0.167 0.833 0.500
Tl 0.833 0.167 0.500
Sb 0.331 0.669 0.000
Sb 0.669 0.331 0.000
S 0.062 0.392 0.194
S 0.254 0.254 0.802
S 0.392 0.062 0.194
S 0.608 0.938 0.806
S 0.746 0.746 0.198
S 0.938 0.608 0.806
CELL_PARAMETERS angstrom
3.495 -6.074 0.000
3.495 6.074 0.000
-2.394 0.000 7.508

! NdY4 PBE relaxed; values from VASP
! Calculated total energy   -0.2010 hartree per atom
! Energy relative to the elements   3.28 eV per formula unit
! DOS(E_F)   8.47 states/eV per cell
! Space-group type   Pm-3m
! Offset from the most stable computed form   637 meV per atom
&SYSTEM
  ibrav = 0, nat = 5, ntyp = 2
/
ATOMIC_SPECIES
Nd 144.24 Nd.upf
Y 88.91 Y.upf
ATOMIC_POSITIONS crystal
Nd 0.000 0.000 0.000
Y 0.000 0.000 0.500
Y 0.000 0.500 0.000
Y 0.500 0.000 0.000
Y 0.500 0.500 0.500
CELL_PARAMETERS angstrom
5.653 0.000 0.000
0.000 5.653 0.000
0.000 0.000 5.653

! LaHfSe3 PBE relaxed; values from VASP
! Calculated total energy   -0.2340 hartree per atom
! DOS(E_F)   3.85 states/eV per cell
! Space-group type   Pm-3m
! Energy relative to the elements, uncorrected   -125.6 kJ/mol of atoms
! Offset from the most stable computed form   311 meV per atom
&SYSTEM
  ibrav = 0, nat = 5, ntyp = 3
/
ATOMIC_SPECIES
La 138.91 La.upf
Hf 178.49 Hf.upf
Se 78.96 Se.upf
ATOMIC_POSITIONS crystal
La 0.000 0.000 0.000
Hf 0.500 0.500 0.500
Se 0.000 0.500 0.500
Se 0.500 0.000 0.500
Se 0.500 0.500 0.000
CELL_PARAMETERS angstrom
5.130 0.000 0.000
0.000 5.130 0.000
0.000 0.000 5.130

! NpCuS2 PBE relaxed; values from VASP
! Calculated total energy   -0.2663 hartree per atom
! DOS(E_F)   13.94 states/eV per cell
! Space-group type   Cmcm
! Energy relative to the elements, uncorrected   -89.0 kJ/mol of atoms
! Offset from the most stable computed form   17 meV per atom
&SYSTEM
  ibrav = 0, nat = 8, ntyp = 3
/
ATOMIC_SPECIES
Np 237.00 Np.upf
Cu 63.55 Cu.upf
S 32.06 S.upf
ATOMIC_POSITIONS crystal
Np 0.175 0.825 0.750
Np 0.825 0.175 0.250
Cu 0.466 0.534 0.750
Cu 0.534 0.466 0.250
S 0.302 0.698 0.750
S 0.423 0.577 0.250
S 0.577 0.423 0.750
S 0.698 0.302 0.250
CELL_PARAMETERS angstrom
1.853 -10.931 0.000
1.853 10.931 0.000
0.000 0.000 4.033

! ScBiS2 PBE relaxed; values from VASP
! Calculated total energy   -0.2066 hartree per atom
! DOS(E_F)   0.00 states/eV per cell
! Space-group type   C2/c
! Energy relative to the elements, uncorrected   -97.1 kJ/mol of atoms
&SYSTEM
  ibrav = 0, nat = 32, ntyp = 3
/
ATOMIC_SPECIES
Sc 44.96 Sc.upf
Bi 208.98 Bi.upf
S 32.06 S.upf
ATOMIC_POSITIONS crystal
Sc 0.055 0.620 0.121
Sc 0.075 0.171 0.106
Sc 0.171 0.075 0.606
Sc 0.380 0.945 0.379
Sc 0.620 0.055 0.621
Sc 0.829 0.925 0.394
Sc 0.925 0.829 0.894
Sc 0.945 0.380 0.879
Bi 0.143 0.413 0.310
Bi 0.262 0.634 0.887
Bi 0.366 0.738 0.613
Bi 0.413 0.143 0.810
Bi 0.587 0.857 0.190
Bi 0.634 0.262 0.387
Bi 0.738 0.366 0.113
Bi 0.857 0.587 0.690
S 0.123 0.826 0.466
S 0.123 0.877 0.750
S 0.165 0.341 0.746
S 0.174 0.877 0.034
S 0.212 0.397 0.018
S 0.315 0.685 0.250
S 0.341 0.165 0.246
S 0.397 0.212 0.518
S 0.603 0.788 0.482
S 0.659 0.835 0.754
S 0.685 0.315 0.750
S 0.788 0.603 0.982
S 0.826 0.123 0.966
S 0.835 0.659 0.254
S 0.877 0.123 0.250
S 0.877 0.174 0.534
CELL_PARAMETERS angstrom
5.478 -5.629 0.000
5.478 5.629 0.000
-1.781 0.000 13.522

! BeRe2Si PBE relaxed; values from VASP
! Calculated total energy   -0.3096 hartree per atom
! DOS(E_F)   1.70 states/eV per cell
! Space-group type   P2/m
! Energy relative to the elements, uncorrected   8.5 kJ/mol of atoms
&SYSTEM
  ibrav = 0, nat = 4, ntyp = 3
/
ATOMIC_SPECIES
Be 9.01 Be.upf
Re 186.21 Re.upf
Si 28.09 Si.upf
ATOMIC_POSITIONS crystal
Be 0.000 0.000 0.000
Re 0.266 0.500 0.759
Re 0.734 0.500 0.241
Si 0.500 0.000 0.500
CELL_PARAMETERS angstrom
2.721 0.000 0.000
0.000 3.909 0.000
-0.454 0.000 4.969

! PmHo2Sc PBE relaxed; values from VASP
! Calculated total energy   -0.1850 hartree per atom
! Energy relative to the elements   0.11 eV per formula unit
! DOS(E_F)   6.68 states/eV per cell
! Space-group type   Imm2
! Offset from the most stable computed form   0 meV per atom
&SYSTEM
  ibrav = 0, nat = 4, ntyp = 3
/
ATOMIC_SPECIES
Pm 145.00 Pm.upf
Ho 164.93 Ho.upf
Sc 44.96 Sc.upf
ATOMIC_POSITIONS crystal
Pm 0.000 0.000 0.000
Ho 0.410 0.653 0.757
Ho 0.896 0.653 0.243
Sc 0.492 0.992 0.500
CELL_PARAMETERS angstrom
-1.787 5.566 3.057
1.787 -5.566 3.057
1.787 5.566 -3.057

! Pr2NdY3Se6 PBE relaxed; values from VASP
! Calculated total energy   -0.2338 hartree per atom
! DOS(E_F)   5.37 states/eV per cell
! Space-group type   C2/m
! Energy relative to the elements, uncorrected   -174.6 kJ/mol of atoms
&SYSTEM
  ibrav = 0, nat = 12, ntyp = 4
/
ATOMIC_SPECIES
Pr 140.91 Pr.upf
Nd 144.24 Nd.upf
Y 88.91 Y.upf
Se 78.96 Se.upf
ATOMIC_POSITIONS crystal
Pr 0.167 0.167 0.334
Pr 0.833 0.833 0.666
Nd 0.500 0.500 0.000
Y 0.167 0.167 0.833
Y 0.500 0.500 0.500
Y 0.833 0.833 0.167
Se 0.004 0.004 0.743
Se 0.331 0.331 0.926
Se 0.337 0.337 0.408
Se 0.663 0.663 0.592
Se 0.669 0.669 0.074
Se 0.996 0.996 0.257
CELL_PARAMETERS angstrom
9.135 -2.064 0.000
9.135 2.064 0.000
-2.146 0.000 8.159

! Cd2SiRh PBE relaxed; values from VASP
! Calculated total energy   -0.1264 hartree per atom
! DOS(E_F)   3.11 states/eV per cell
! Space-group type   P4/mmm
! Energy relative to the elements, uncorrected   20.4 kJ/mol of atoms
&SYSTEM
  ibrav = 0, nat = 4, ntyp = 3
/
ATOMIC_SPECIES
Cd 112.41 Cd.upf
Si 28.09 Si.upf
Rh 102.91 Rh.upf
ATOMIC_POSITIONS crystal
Cd 0.000 0.000 0.224
Cd 0.000 0.000 0.776
Si 0.500 0.500 0.500
Rh 0.500 0.500 0.000
CELL_PARAMETERS angstrom
2.965 0.000 0.000
0.000 2.965 0.000
0.000 0.000 8.419

! ZnRe2As PBE relaxed; values from VASP
! Calculated total energy   -0.2629 hartree per atom
! Energy relative to the elements   2.20 eV per formula unit
! DOS(E_F)   3.21 states/eV per cell
! Space-group type   Pmmm
! Offset from the most stable computed form   407 meV per atom
&SYSTEM
  ibrav = 0, nat = 4, ntyp = 3
/
ATOMIC_SPECIES
Zn 65.41 Zn.upf
Re 186.21 Re.upf
As 74.92 As.upf
ATOMIC_POSITIONS crystal
Zn 0.000 0.000 0.000
Re 0.000 0.500 0.500
Re 0.500 0.500 0.000
As 0.500 0.000 0.500
CELL_PARAMETERS angstrom
2.973 0.000 0.000
0.000 4.357 0.000
0.000 0.000 4.712

The calculation returns the following magnetization values, one per record and in order: 0.502 0.000 0.182 0.000 0.000 0.982 0.000 0.000 0.000 0.000 0.000 0.000 μB/atom.